Record 1
The following is a GGA-PBE calculation of a relaxed structure of ScHg2P, from the Alexandria database.

## Properties
Calculated total energy: -26.07 eV per cell
Volume: 175.0 Å³/cell
ΔE_f: -172.6 meV per atom

a b c (Å): 3.8557 4.7687 9.5172
angles (deg): 90.00 90.00 90.00
Last column: nearest neighbours and their distance in Å.
Space group Imm2 (No. 44)
One atom of each set of equivalent atoms:
Sc  0.0000  0.0000  0.0000 x2  2 P 2.58
Hg  0.0000  0.0000  0.4750 x2  4 Sc 3.08, 4 P 3.08-3.41, 4 Hg 3.22-3.24
Hg  0.0000  0.5000  0.2480 x2  4 Sc 3.08-3.35, 4 P 3.13, 4 Hg 3.22-3.24
P  0.0000  0.5000  0.6801 x2  2 Sc 2.58

---

Record 2
The following is a GGA-PBE calculation of a relaxed structure of SbHPd3, from the Alexandria database.

## Properties
Calculated total energy: -193.97 eV per cell
Volume: 577.4 Å³/cell
Polymorph energy (0 for the lowest one): 0.64 kcal/mol of atoms

a b c (Å): 9.7233 11.4915 5.1799
angles (deg): 90.00 93.95 90.00
Last column: nearest neighbours and their distance in Å.
Space group C2/c (No. 15)
One atom of each set of equivalent atoms:
Sb  0.1549  0.0827  0.0662 x8  8 Pd 2.65-2.91
H  0.0000  0.3359  0.7500 x4  4 Pd 1.88-2.06
H  0.0000  0.4145  0.2500 x4  4 Pd 1.91-2.04
Pd  0.1149  0.1653  0.5627 x8  1 H 2.49, 1 Sb 2.78
Pd  0.1216  0.3116  0.0878 x8  2 H 1.91-2.06
Pd  0.1237  0.4316  0.5833 x8  2 H 1.88-2.04

---

Record 3
The following is a GGA-PBE calculation of a relaxed structure of SrPu2I6, from the Alexandria database.

## Properties
Calculated total energy: -101.86 eV per cell
Volume: 832.6 Å³/cell

a b c (Å): 17.1121 4.5516 11.1617
angles (deg): 90.00 106.72 90.00
Last column: nearest neighbours and their distance in Å.
Space group C2/m (No. 12)
One atom of each set of equivalent atoms:
Sr  0.0000  0.0000  0.0000 x2  6 I 3.28-3.32
Pu  0.1715  0.5000  0.3473 x4  6 I 3.16-3.25
I  0.0333  0.0000  0.3079 x4  2 Pu 3.22, 1 Sr 3.32
I  0.1435  0.5000  0.0463 x4  1 Pu 3.25, 2 Sr 3.28
I  0.1958  0.5000  0.6385 x4  3 Pu 3.16-3.19

---

Record 4
The following is a GGA-PBE calculation of a relaxed structure of KNClF2, from the Alexandria database.

## Properties
Calculated total energy: -16.59 eV per cell
Volume: 78.4 Å³/cell
Polymorph energy (0 for the lowest one): 0.00 kcal/mol of atoms

a b c (Å): 4.8540 4.8540 3.3290
angles (deg): 90.00 90.00 90.00
Last column: nearest neighbours and their distance in Å.
Space group P4/mmm (No. 123)
One atom of each set of equivalent atoms:
K  0.0000  0.0000  0.0000 x1  8 F 2.94
N  0.5000  0.5000  0.0000 x1  2 Cl 1.66
Cl  0.5000  0.5000  0.5000 x1  2 N 1.66
F  0.0000  0.5000  0.5000 x2  2 Cl 2.43

---

Record 5
The following is a GGA-PBE calculation of a relaxed structure of SrIn4Pb, from the Alexandria database.

## Properties
Calculated total energy: -35.10 eV per cell
Volume: 349.2 Å³/cell
Polymorph energy (0 for the lowest one): 0.00 kcal/mol of atoms
ΔE_f: -200.7 meV per atom

a b c (Å): 5.1146 13.6977 4.9846
angles (deg): 90.00 90.00 90.00
Last column: nearest neighbours and their distance in Å.
Space group Cmmm (No. 65)
One atom of each set of equivalent atoms:
Sr  0.0000  0.0000  0.0000 x2  8 In 3.46-3.55, 4 Pb 3.57
In  0.0000  0.1747  0.5000 x4  4 In 3.19-3.28, 2 Sr 3.46, 2 Pb 3.50
In  0.0000  0.3198  0.0000 x4  4 In 3.19, 2 Pb 3.51, 2 Sr 3.55
Pb  0.0000  0.5000  0.5000 x2  8 In 3.50-3.51, 4 Sr 3.57

---

Record 6
The following is a GGA-PBE calculation of a relaxed structure of BaTiB2Ru, from the Alexandria database.

## Properties
Calculated total energy: -18.39 eV per cell
Volume: 107.2 Å³/cell
ΔE_f: 2810.9 meV per atom

a b c (Å): 4.6040 4.6040 5.0587
angles (deg): 90.00 90.00 90.00
Last column: nearest neighbours and their distance in Å.
Space group P4/mmm (No. 123)
One atom of each set of equivalent atoms:
Ba  0.0000  0.0000  0.0000 x1  4 B 2.30, 2 Ru 2.53
Ti  0.5000  0.5000  0.5000 x1  4 Ru 3.26, 8 B 3.42
B  0.0000  0.5000  0.0000 x2  2 Ba 2.30
Ru  0.0000  0.0000  0.5000 x1  2 Ba 2.53

---

Record 7
The following is a GGA-PBE calculation of a relaxed structure of Hf2ZrO, from the Alexandria database.

## Properties
Calculated total energy: -155.57 eV per cell
Volume: 281.8 Å³/cell

a b c (Å): 9.7046 5.6278 6.1051
angles (deg): 90.00 122.32 90.00
Last column: nearest neighbours and their distance in Å.
Space group Cc (No. 9)
One atom of each set of equivalent atoms:
Hf  0.0000  0.0807  0.0000 x4  2 O 2.24
Hf  0.1701  0.4094  0.5005 x4  2 O 2.25
Zr  0.3382  0.0829  0.0011 x4  2 O 2.30
O  0.4220  0.2556  0.7505 x4  4 Hf 2.24-2.25, 2 Zr 2.30

---

Record 8
The following is a GGA-PBE calculation of a relaxed structure of Mn2CrAg, from the Alexandria database.

## Properties
Calculated total energy: -58.67 eV per cell
Volume: 107.9 Å³/cell
Polymorph energy (0 for the lowest one): 2.88 kcal/mol of atoms
ΔE_f: 369.3 meV per atom

a b c (Å): 3.2977 4.0775 8.0225
angles (deg): 90.00 90.00 90.00
Last column: nearest neighbours and their distance in Å.
Space group Cmm2 (No. 35)
One atom of each set of equivalent atoms:
Mn  0.0000  0.0000  0.0000 x2  4 Cr 2.40-2.68, 6 Mn 2.41-2.62
Mn  0.0000  0.5000  0.2194 x2  8 Mn 2.41-2.69
Cr  0.0000  0.5000  0.7830 x2  4 Mn 2.40-2.68, 4 Cr 2.62
Ag  0.0000  0.0000  0.5008 x2  4 Ag 2.62, 2 Mn 2.80, 2 Cr 2.80